[1]
Compound: Tb2GaSnGe
Source: the Alexandria database
Functional: PBE
Structure: optimized geometry

The structure in POSCAR format:
```
Tb2GaSnGe
1.0
4.267 0.000 0.000
0.000 8.704 0.000
0.000 0.000 6.361
Tb Ga Sn Ge
4 2 2 2
Direct
0.250 0.033 0.247
0.250 0.467 0.247
0.750 0.533 0.753
0.750 0.967 0.753
0.250 0.750 0.551
0.750 0.250 0.449
0.250 0.250 0.730
0.750 0.750 0.270
0.250 0.750 0.946
0.750 0.250 0.054
```

Formation energy (eV per atom): -0.6690
D(E_F) (states/eV per atom): 0.626
E (eV/f.u.): -24.3

=====

[2]
Compound: Cs3Na2UO6
Source: the Alexandria database
Functional: PBE
Structure: optimized geometry

The structure in POSCAR format:
```
Cs3Na2UO6
1.0
3.185 -5.584 0.000
3.185 5.584 0.000
-1.971 0.000 6.677
Cs Na U O
3 2 1 6
Direct
0.000 0.000 0.000
0.325 0.675 0.000
0.675 0.325 0.000
0.168 0.832 0.500
0.832 0.168 0.500
0.500 0.500 0.500
0.170 0.439 0.330
0.295 0.295 0.687
0.439 0.170 0.330
0.561 0.830 0.670
0.705 0.705 0.313
0.830 0.561 0.670
```

D(E_F) (states/eV per atom): 0.929
Formation energy from raw total energies (meV/atom): -1952.0
E (eV/f.u.): -69.7

=====

[3]
Compound: YEr2Sc3
Source: the Alexandria database
Functional: PBE
Structure: optimized geometry

The structure in POSCAR format:
```
YEr2Sc3
1.0
1.713 -8.849 0.000
1.713 8.849 0.000
0.000 0.000 10.963
Y Er Sc
2 4 6
Direct
0.223 0.777 0.750
0.777 0.223 0.250
0.000 0.000 0.000
0.000 0.000 0.500
0.446 0.554 0.250
0.554 0.446 0.750
0.112 0.888 0.250
0.333 0.667 0.506
0.333 0.667 0.994
0.667 0.333 0.006
0.667 0.333 0.494
0.888 0.112 0.750
```

Formation energy (eV per atom): 0.0414
D(E_F) (states/eV per atom): 1.535
E above lowest polymorph (kJ/mol of formula units): 0
E (eV/f.u.): -34.3

=====

[4]
Compound: V2CdB
Source: the Alexandria database
Functional: PBE
Structure: optimized geometry

The structure in POSCAR format:
```
V2CdB
1.0
0.000 2.980 2.980
2.980 0.000 2.980
2.980 2.980 0.000
V Cd B
2 1 1
Direct
0.250 0.250 0.250
0.750 0.750 0.750
0.000 0.000 0.000
0.500 0.500 0.500
```

Formation energy (eV per atom): 0.7423
D(E_F) (states/eV per atom): 0.809
E above lowest polymorph (kJ/mol of formula units): 215
E (eV/f.u.): -22.9

=====

[5]
Compound: Cs2K5Na2
Source: the Alexandria database
Functional: PBE
Structure: optimized geometry

The structure in POSCAR format:
```
Cs2K5Na2
1.0
-10.448 7.243 4.404
10.448 -7.243 4.404
10.448 7.243 -4.404
Cs K Na
4 10 4
Direct
0.050 0.112 0.162
0.050 0.388 0.438
0.950 0.612 0.562
0.950 0.888 0.838
0.109 0.393 0.842
0.109 0.767 0.217
0.349 0.142 0.511
0.349 0.338 0.707
0.547 0.938 0.109
0.551 0.267 0.158
0.551 0.893 0.783
0.631 0.642 0.293
0.631 0.838 0.489
0.829 0.438 0.891
0.162 0.505 0.157
0.347 0.005 0.843
0.576 0.076 0.500
0.576 0.576 0.000
```

Formation energy (eV per atom): 0.0532
D(E_F) (states/eV per atom): 0.779
E above lowest polymorph (kJ/mol of formula units): 22
E (eV/f.u.): -9.4

=====

[6]
Compound: NdDyGa6
Source: the Alexandria database
Functional: PBE
Structure: optimized geometry

The structure in POSCAR format:
```
NdDyGa6
1.0
6.360 0.000 0.000
-3.180 5.508 0.000
0.000 0.000 4.600
Nd Dy Ga
1 1 6
Direct
0.000 0.000 0.000
0.667 0.333 0.500
0.040 0.520 0.000
0.190 0.380 0.500
0.190 0.810 0.500
0.480 0.520 0.000
0.480 0.960 0.000
0.620 0.810 0.500
```

Formation energy (eV per atom): -0.5509
D(E_F) (states/eV per atom): 0.352
E (eV/f.u.): -31.9

=====

[7]
Compound: Sm2TcGe3
Source: the Alexandria database
Functional: PBE
Structure: optimized geometry

The structure in POSCAR format:
```
Sm2TcGe3
1.0
-2.213 2.808 5.309
2.213 -2.808 5.309
2.213 2.808 -5.309
Sm Tc Ge
2 1 3
Direct
0.183 0.183 0.000
0.817 0.817 0.000
0.500 0.500 0.000
0.000 0.500 0.500
0.375 0.875 0.500
0.625 0.125 0.500
```

Formation energy (eV per atom): -0.3502
D(E_F) (states/eV per atom): 0.792
E (eV/f.u.): -35.8

=====

[8]
Compound: CdRh3
Source: the Alexandria database
Functional: PBE
Structure: optimized geometry

The structure in POSCAR format:
```
CdRh3
1.0
4.665 0.000 0.000
0.000 4.665 0.000
0.000 0.000 2.870
Cd Rh
1 3
Direct
0.000 0.000 0.000
0.000 0.500 0.500
0.500 0.000 0.500
0.500 0.500 0.000
```

Formation energy (eV per atom): 0.1637
D(E_F) (states/eV per atom): 1.913
E (eV/f.u.): -22.3

=====

[9]
Compound: CaSn6Pd
Source: the Alexandria database
Functional: PBE
Structure: optimized geometry

The structure in POSCAR format:
```
CaSn6Pd
1.0
4.461 0.000 0.000
0.000 4.436 5.250
0.000 -4.436 5.250
Ca Sn Pd
1 6 1
Direct
0.000 0.000 0.000
0.000 0.015 0.500
0.000 0.500 0.015
0.500 0.233 0.233
0.500 0.309 0.682
0.500 0.682 0.309
0.500 0.764 0.764
0.000 0.594 0.594
```

Formation energy (eV per atom): -0.2617
D(E_F) (states/eV per atom): 0.351
E (eV/f.u.): -33.3

=====

[10]
Compound: U2VC
Source: the Alexandria database
Functional: PBE
Structure: optimized geometry

The structure in POSCAR format:
```
U2VC
1.0
2.451 1.415 3.082
-2.451 1.415 3.082
0.000 -2.830 3.082
U V C
2 1 1
Direct
0.242 0.242 0.242
0.758 0.758 0.758
0.500 0.500 0.500
0.000 0.000 0.000
```

Formation energy (eV per atom): 0.6580
D(E_F) (states/eV per atom): 1.667
E (eV/f.u.): -38.3

=====

[11]
Compound: Ta2P2Br
Source: the Alexandria database
Functional: PBE
Structure: optimized geometry

The structure in POSCAR format:
```
Ta2P2Br
1.0
7.346 0.000 0.000
0.000 7.346 0.000
0.000 0.000 3.207
Ta P Br
4 4 2
Direct
0.138 0.362 0.000
0.362 0.862 0.000
0.638 0.138 0.000
0.862 0.638 0.000
0.139 0.639 0.500
0.361 0.139 0.500
0.639 0.861 0.500
0.861 0.361 0.500
0.000 0.000 0.000
0.500 0.500 0.000
```

D(E_F) (states/eV per atom): 0.499
Formation energy from raw total energies (meV/atom): -378.3
E (eV/f.u.): -38.1

=====

[12]
Compound: As2WSe
Source: the Alexandria database
Functional: PBE
Structure: optimized geometry

The structure in POSCAR format:
```
As2WSe
1.0
1.611 0.930 9.023
-1.611 0.930 9.023
0.000 -1.861 9.023
As W Se
2 1 1
Direct
0.000 0.000 0.000
0.263 0.263 0.263
0.738 0.738 0.738
0.468 0.468 0.468
```

D(E_F) (states/eV per atom): 0.238
Formation energy from raw total energies (meV/atom): 80.6
E (eV/f.u.): -25.4

=====

> What is the E in the third record?

-34.3 eV/f.u.

=====

> What is the E in the first record?

-24.3 eV/f.u.